DFT (GGA-PBE) results for PmSbAsO after structural relaxation.

The structure in CIF format:
```
data_PmSbAsO
_chemical_formula_sum 'Pm2 Sb2 As2 O2'
_cell_length_a 4.1262
_cell_length_b 4.1262
_cell_length_c 10.4728
_cell_angle_alpha 90.00
_cell_angle_beta 90.00
_cell_angle_gamma 90.00
_space_group_name_H-M_alt 'P 4/n m m'
_space_group_IT_number 129
loop_
_space_group_symop_operation_xyz
'x,y,z'
'-x,-y,-z'
'-y+1/2,x,z'
'y+1/2,-x,-z'
'-x+1/2,-y+1/2,z'
'x+1/2,y+1/2,-z'
'y,-x+1/2,z'
'-y,x+1/2,-z'
'x+1/2,-y,-z'
'-x+1/2,y,z'
'-y,-x,-z'
'y,x,z'
'-x,y+1/2,-z'
'x,-y+1/2,z'
'y+1/2,x+1/2,-z'
'-y+1/2,-x+1/2,z'
loop_
_atom_site_label
_atom_site_fract_x
_atom_site_fract_y
_atom_site_fract_z
Pm1 0.2500 0.2500 0.1058
Sb1 0.2500 0.7500 0.5000
As1 0.2500 0.2500 0.7266
O1 0.2500 0.7500 0.0000
```

Energy above the lowest structure with this stoichiometry in meV/atom: 0.0
Total magnetic moment in μB/cell: 0.02

DFT (GGA-PBE) results for CsYNiS3 after structural relaxation.

The structure in CIF format:
```
data_CsYNiS3
_chemical_formula_sum 'Cs4 Y4 Ni4 S12'
_cell_length_a 10.9242
_cell_length_b 4.1396
_cell_length_c 12.9359
_cell_angle_alpha 90.00
_cell_angle_beta 90.00
_cell_angle_gamma 90.00
_space_group_name_H-M_alt 'P n m a'
_space_group_IT_number 62
_space_group_name_Hall '-P 2ac 2n'
loop_
_atom_site_label
_atom_site_fract_x
_atom_site_fract_y
_atom_site_fract_z
Cs1 0.1764 0.2500 0.0127
Y1 0.0043 0.2500 0.6820
Ni1 0.2397 0.2500 0.2974
S1 0.0571 0.7500 0.8146
S2 0.0942 0.2500 0.4279
S3 0.2303 0.7500 0.2338
```

Energy above the lowest structure with this stoichiometry in meV/atom: 99.8
Total magnetic moment in μB/cell: 1.36

DFT (GGA-PBE) results for PaTcPd after structural relaxation.

The structure in CIF format:
```
data_PaTcPd
_chemical_formula_sum 'Pa4 Tc4 Pd4'
_cell_length_a 6.3402
_cell_length_b 6.3402
_cell_length_c 6.3402
_cell_angle_alpha 90.00
_cell_angle_beta 90.00
_cell_angle_gamma 90.00
_space_group_name_H-M_alt 'F -4 3 m'
_space_group_IT_number 216
_space_group_name_Hall 'F -4 2 3'
loop_
_atom_site_label
_atom_site_fract_x
_atom_site_fract_y
_atom_site_fract_z
Pa1 0.0000 0.0000 0.0000
Tc1 0.2500 0.2500 0.2500
Pd1 0.2500 0.2500 0.7500
```

Energy above the lowest structure with this stoichiometry in meV/atom: 0.0
Total magnetic moment in μB/cell: 0.01

DFT (GGA-PBE) results for SmHoZn2Pb2 after structural relaxation.

The structure in CIF format:
```
data_SmHoZn2Pb2
_chemical_formula_sum 'Sm2 Ho2 Zn4 Pb4'
_cell_length_a 4.6085
_cell_length_b 4.6085
_cell_length_c 16.1047
_cell_angle_alpha 90.00
_cell_angle_beta 90.00
_cell_angle_gamma 120.00
_space_group_name_H-M_alt 'P 63/m m c'
_space_group_IT_number 194
_space_group_name_Hall '-P 6c 2c'
loop_
_atom_site_label
_atom_site_fract_x
_atom_site_fract_y
_atom_site_fract_z
Sm1 0.0000 0.0000 0.2500
Ho1 0.0000 0.0000 0.0000
Zn1 0.3333 0.6667 0.1632
Pb1 0.3333 0.6667 0.6081
```

Energy above the lowest structure with this stoichiometry in meV/atom: 10.6
Total magnetic moment in μB/cell: 0.02